First-principles (PBEsol) data for crystalline CoSiB3 at its relaxed geometry, as listed in the Alexandria database.

- formation energy (no corrections) (eV/atom) = 1.035
- E above lowest polymorph (eV/atom) = 0.000
- crystal system = cubic

abc: 3.756 3.756 3.756
angles: 90.00 90.00 90.00
Element x y z (fractional)
1 B 0.000 0.000 0.500
2 Si 0.500 0.500 0.500
3 B 0.000 0.500 0.000
4 Co 0.000 0.000 0.000
5 B 0.500 0.000 0.000

---

First-principles (PBEsol) data for crystalline MnAl2Rh at its relaxed geometry, as listed in the Alexandria database.

- crystal system = monoclinic

abc: 2.835 4.282 4.790
angles: 106.86 107.21 90.00
Element x y z (fractional)
1 Al 0.991 0.954 0.983
2 Rh 0.249 0.790 0.499
3 Al 0.758 0.295 0.515
4 Mn 0.502 0.461 0.003

---

First-principles (PBEsol) data for crystalline BaTe2P at its relaxed geometry, as listed in the Alexandria database.

- formation energy (no corrections) (eV/atom) = -0.366
- crystal system = tetragonal

abc: 4.515 4.515 6.369
angles: 110.76 110.76 90.00
Element x y z (fractional)
1 Ba 0.500 0.500 0.000
2 Te 0.750 0.250 0.500
3 Te 0.250 0.750 0.500
4 P 0.000 0.000 0.000

---

We obtain total DFT energy (no corrections) values of -5.87; -6.99; -4.11 eV/atom for the records listed above, in that order.
We obtain ρ values of 3.743; 6.645; 6.259 g/cm3 for the records listed above, in that order.